(1)
A relaxed structure of Y3TcNi. Source: the Alexandria database, functional PBE.

Energy above the most stable polymorph in this dataset   0 kJ/mol of formula units
Size of the total moment   1.39 μB/f.u.
Energy of formation from the pure elements   2.2 eV/f.u.

Unit cell a=5.097 b=5.097 c=5.097 alpha=90.00 beta=90.00 gamma=90.00
Each line ends with the local moment (μB).
Fractional positions:
Y 0.000 0.500 0.000  -0.07
Y 0.000 0.000 0.500  -0.06
Y 0.500 0.000 0.000  -0.13
Ni 0.000 0.000 0.000  0.00
Tc 0.500 0.500 0.500  1.66

(2)
A relaxed structure of CuAg2Cl8. Source: the Alexandria database, functional PBE.

Formation energy from raw total energies   -0.113 eV per atom
Size of the total moment   0.43 μB/f.u.

Unit cell a=6.445 b=6.995 c=6.995 alpha=70.85 beta=74.96 gamma=74.96
Each line ends with the local moment (μB).
Fractional positions:
Cu 0.000 0.000 0.000  0.19
Ag 0.715 0.780 0.780  -0.01
Ag 0.285 0.220 0.220  -0.01
Cl 0.193 0.284 0.882  0.05
Cl 0.807 0.118 0.716  0.05
Cl 0.279 0.819 0.819  0.01
Cl 0.721 0.181 0.181  0.01
Cl 0.193 0.882 0.284  0.05
Cl 0.807 0.716 0.118  0.05
Cl 0.708 0.573 0.573  0.00
Cl 0.292 0.427 0.427  0.00

Number 1: calculated total energy -6.6735 eV per atom. Number 2: calculated total energy -2.3471 eV per atom.